Compound: HfNiAs2O8
Source: the Alexandria database
Functional: PBE with a Hubbard U
Structure: optimized geometry

Values from the calculation:
Calculated density ... 5.5 Mg/m³
VASP energy ... -6.7380 eV/atom

abc: 5.5275 5.5275 5.9145
angles: 90.00 90.00 120.00
Space group P-3m1 (No. 164)
Asymmetric unit:
1 Hf 0.0000 0.0000 0.0000
2 Ni 0.0000 0.0000 0.5000
3 As 0.3333 0.6667 0.6665
4 O 0.1623 0.3247 0.7702
5 O 0.3333 0.6667 0.3885